1.
# La2CdAgC GGA-PBE relaxed
data_La2CdAgC
_chemical_formula_sum 'La2 Cd1 Ag1 C1'
_cell_length_a 5.3095
_cell_length_b 5.3095
_cell_length_c 4.3523
_cell_angle_alpha 90.00
_cell_angle_beta 90.00
_cell_angle_gamma 90.00
_space_group_name_H-M_alt 'P 4/m m m'
_space_group_IT_number 123
_space_group_name_Hall '-P 4 2'
loop_
_atom_site_label
_atom_site_fract_x
_atom_site_fract_y
_atom_site_fract_z
La1 0.0000 0.5000 0.0000
Cd1 0.0000 0.0000 0.5000
Ag1 0.5000 0.5000 0.5000
C1 0.5000 0.5000 0.0000
# Fermi-level density of states = 5.39 states/eV per cell
# ΔH_f (0 K) = -0.02 eV/atom

2.
# LiMn2NiS4 GGA-PBE relaxed
data_LiMn2NiS4
_chemical_formula_sum 'Li2 Mn4 Ni2 S8'
_cell_length_a 6.9304
_cell_length_b 6.0474
_cell_length_c 6.2925
_cell_angle_alpha 90.00
_cell_angle_beta 90.00
_cell_angle_gamma 90.00
_space_group_name_H-M_alt 'P m n 21'
_space_group_IT_number 31
_space_group_name_Hall 'P 2ac -2'
loop_
_atom_site_label
_atom_site_fract_x
_atom_site_fract_y
_atom_site_fract_z
Li1 0.0000 0.1784 0.0000
Mn1 0.2289 0.3429 0.5455
Ni1 0.0000 0.7594 0.5101
S1 0.0000 0.1152 0.6173
S2 0.0000 0.8037 0.1541
S3 0.2413 0.6503 0.7109
# ΔE_f (raw) = -0.491 eV per atom
# Fermi-level density of states = 8.59 states/eV per cell

3.
# LiDyLuPt GGA-PBE relaxed
data_LiDyLuPt
_chemical_formula_sum 'Li4 Dy4 Lu4 Pt4'
_cell_length_a 6.9623
_cell_length_b 6.9623
_cell_length_c 6.9623
_cell_angle_alpha 90.00
_cell_angle_beta 90.00
_cell_angle_gamma 90.00
_space_group_name_H-M_alt 'F -4 3 m'
_space_group_IT_number 216
_space_group_name_Hall 'F -4 2 3'
loop_
_atom_site_label
_atom_site_fract_x
_atom_site_fract_y
_atom_site_fract_z
Li1 0.0000 0.0000 0.0000
Dy1 0.2500 0.2500 0.7500
Lu1 0.2500 0.2500 0.2500
Pt1 0.0000 0.0000 0.5000
# Fermi-level density of states = 12.72 states/eV per cell
# ΔH_f (0 K) = -0.71 eV/atom

4.
# Tb12Eu3Dy5 GGA-PBE relaxed
data_Tb12Eu3Dy5
_chemical_formula_sum 'Tb96 Eu24 Dy40'
_cell_length_a 18.9844
_cell_length_b 18.9844
_cell_length_c 18.9844
_cell_angle_alpha 90.00
_cell_angle_beta 90.00
_cell_angle_gamma 90.00
_space_group_name_H-M_alt 'I a -3 d'
_space_group_IT_number 230
_space_group_name_Hall '-I 4bd 2c 3'
loop_
_atom_site_label
_atom_site_fract_x
_atom_site_fract_y
_atom_site_fract_z
Tb1 0.0069 0.0800 0.6446
Eu1 0.0000 0.2500 0.1250
Dy1 0.0000 0.0000 0.0000
Dy2 0.0000 0.2500 0.3750
# Fermi-level density of states = 288.43 states/eV per cell
# ΔH_f (0 K) = 1.07 eV/atom

5.
# P2CI GGA-PBE relaxed
data_P2CI
_chemical_formula_sum 'P8 C4 I4'
_cell_length_a 6.2820
_cell_length_b 6.2820
_cell_length_c 7.2581
_cell_angle_alpha 90.00
_cell_angle_beta 90.00
_cell_angle_gamma 90.00
_space_group_name_H-M_alt 'I -4 2 d'
_space_group_IT_number 122
_space_group_name_Hall 'I -4 2bw'
loop_
_atom_site_label
_atom_site_fract_x
_atom_site_fract_y
_atom_site_fract_z
P1 0.1196 0.2500 0.1250
C1 0.0000 0.0000 0.0000
I1 0.0000 0.0000 0.5000
# Energy relative to the lowest polymorph listed for this composition = 0.0000 eV/atom
# ΔE_f (raw) = 1.021 eV per atom
# Fermi-level density of states = 10.47 states/eV per cell

6.
# Nd7TlSe5 GGA-PBE relaxed
data_Nd7TlSe5
_chemical_formula_sum 'Nd28 Tl4 Se20'
_cell_length_a 13.9916
_cell_length_b 4.2148
_cell_length_c 25.3050
_cell_angle_alpha 90.00
_cell_angle_beta 90.03
_cell_angle_gamma 90.00
_space_group_name_H-M_alt 'C 1 2/m 1'
_space_group_IT_number 12
_space_group_name_Hall '-C 2y'
loop_
_atom_site_label
_atom_site_fract_x
_atom_site_fract_y
_atom_site_fract_z
Nd1 0.0213 0.0000 0.2501
Nd2 0.0911 0.5000 0.1111
Nd3 0.0907 0.5000 0.3891
Nd4 0.1373 0.0000 0.5362
Nd5 0.1372 0.0000 0.9638
Nd6 0.1824 0.5000 0.8243
Nd7 0.1829 0.5000 0.6758
Tl1 0.1942 0.5000 0.2498
Se1 0.0000 0.5000 0.0000
Se2 0.0000 0.5000 0.5000
Se3 0.0481 0.0000 0.8588
Se4 0.0485 0.0000 0.6412
Se5 0.2253 0.0000 0.0711
Se6 0.2251 0.0000 0.4289
# ΔE_f (raw) = -1.483 eV per atom
# Fermi-level density of states = 35.13 states/eV per cell

7.
# Na2Cr2GeS6 GGA-PBE relaxed
data_Na2Cr2GeS6
_chemical_formula_sum 'Na4 Cr4 Ge2 S12'
_cell_length_a 6.0966
_cell_length_b 10.6349
_cell_length_c 7.0170
_cell_angle_alpha 90.00
_cell_angle_beta 106.81
_cell_angle_gamma 90.00
_space_group_name_H-M_alt 'C 1 2/m 1'
_space_group_IT_number 12
_space_group_name_Hall '-C 2y'
loop_
_atom_site_label
_atom_site_fract_x
_atom_site_fract_y
_atom_site_fract_z
Na1 0.0000 0.1659 0.0000
Cr1 0.0000 0.3321 0.5000
Ge1 0.0000 0.0000 0.5000
S1 0.2329 0.1683 0.6955
S2 0.2326 0.5000 0.6941
# ΔE_f (raw) = -0.776 eV per atom
# Fermi-level density of states = 0.43 states/eV per cell

8.
# Li3Y3NbS8 GGA-PBE relaxed
data_Li3Y3NbS8
_chemical_formula_sum 'Li9 Y9 Nb3 S24'
_cell_length_a 7.6937
_cell_length_b 7.6937
_cell_length_c 18.5409
_cell_angle_alpha 90.00
_cell_angle_beta 90.00
_cell_angle_gamma 120.00
_space_group_name_H-M_alt 'R -3 m'
_space_group_IT_number 166
_space_group_name_Hall '-R 3 2"'
loop_
_atom_site_label
_atom_site_fract_x
_atom_site_fract_y
_atom_site_fract_z
Li1 0.0000 0.5000 0.0000
Y1 0.0000 0.5000 0.5000
Nb1 0.0000 0.0000 0.5000
S1 0.0000 0.0000 0.2514
S2 0.0235 0.5118 0.2466
# ΔE_f (raw) = -1.631 eV per atom
# Fermi-level density of states = 13.11 states/eV per cell

9.
# Ca2Hg2Bi GGA-PBE relaxed
data_Ca2Hg2Bi
_chemical_formula_sum 'Ca8 Hg8 Bi4'
_cell_length_a 12.5109
_cell_length_b 4.6342
_cell_length_c 11.8456
_cell_angle_alpha 90.00
_cell_angle_beta 117.05
_cell_angle_gamma 90.00
_space_group_name_H-M_alt 'C 1 2/m 1'
_space_group_IT_number 12
_space_group_name_Hall '-C 2y'
loop_
_atom_site_label
_atom_site_fract_x
_atom_site_fract_y
_atom_site_fract_z
Ca1 0.0872 0.0000 0.3775
Ca2 0.1805 0.0000 0.0906
Hg1 0.0447 0.5000 0.8841
Hg2 0.0862 0.5000 0.6352
Bi1 0.2330 0.5000 0.3080
# Energy relative to the lowest polymorph listed for this composition = 0.0076 eV/atom
# Fermi-level density of states = 9.67 states/eV per cell
# ΔH_f (0 K) = -0.51 eV/atom

10.
# CoSiSe2 GGA-PBE relaxed
data_CoSiSe2
_chemical_formula_sum 'Co1 Si1 Se2'
_cell_length_a 3.4915
_cell_length_b 3.5397
_cell_length_c 6.7567
_cell_angle_alpha 90.00
_cell_angle_beta 90.00
_cell_angle_gamma 90.00
_space_group_name_H-M_alt 'P m m m'
_space_group_IT_number 47
_space_group_name_Hall '-P 2 2'
loop_
_atom_site_label
_atom_site_fract_x
_atom_site_fract_y
_atom_site_fract_z
Co1 0.0000 0.0000 0.0000
Si1 0.5000 0.0000 0.5000
Se1 0.0000 0.5000 0.5000
Se2 0.5000 0.5000 0.0000
# ΔE_f (raw) = 0.452 eV per atom
# Fermi-level density of states = 3.98 states/eV per cell

11.
# Pu2Al2GeRh5 GGA-PBE relaxed
data_Pu2Al2GeRh5
_chemical_formula_sum 'Pu4 Al4 Ge2 Rh10'
_cell_length_a 10.5409
_cell_length_b 10.5409
_cell_length_c 3.0014
_cell_angle_alpha 90.00
_cell_angle_beta 90.00
_cell_angle_gamma 90.00
_space_group_name_H-M_alt 'P 4/m b m'
_space_group_IT_number 127
_space_group_name_Hall '-P 4 2ab'
loop_
_atom_site_label
_atom_site_fract_x
_atom_site_fract_y
_atom_site_fract_z
Pu1 0.1748 0.3252 0.0000
Al1 0.1310 0.6310 0.0000
Ge1 0.0000 0.0000 0.0000
Rh1 0.0000 0.5000 0.5000
Rh2 0.0507 0.8060 0.5000
# Fermi-level density of states = 38.14 states/eV per cell
# ΔH_f (0 K) = -0.62 eV/atom

12.
# PrCu6Ni12 GGA-PBE relaxed
data_PrCu6Ni12
_chemical_formula_sum 'Pr3 Cu18 Ni36'
_cell_length_a 10.3410
_cell_length_b 10.3410
_cell_length_c 8.1199
_cell_angle_alpha 90.00
_cell_angle_beta 90.00
_cell_angle_gamma 120.00
_space_group_name_H-M_alt 'R -3 m'
_space_group_IT_number 166
_space_group_name_Hall '-R 3 2"'
loop_
_atom_site_label
_atom_site_fract_x
_atom_site_fract_y
_atom_site_fract_z
Pr1 0.0000 0.0000 0.0000
Cu1 0.0593 0.5297 0.2362
Ni1 0.0000 0.3908 0.5000
Ni2 0.0843 0.1687 0.2921
# Fermi-level density of states = 90.79 states/eV per cell
# ΔH_f (0 K) = 0.23 eV/atom